The following is a PBE with a Hubbard U calculation of an optimized crystal structure of Mg2NiPdO4, from Alexandria.

Cell and atoms, written as POSCAR:
```
Mg2NiPdO4
1.0
4.3210 0.0022 0.0000
-0.0021 4.3210 0.0000
-2.1594 -2.1616 4.3849
O Mg Ni Pd
4 2 1 1
Direct
0.2513 0.2513 0.5025
0.7487 0.7487 0.4975
0.4846 0.9846 0.9692
0.0154 0.5154 0.0308
0.0000 0.0000 0.0000
0.2500 0.7500 0.5000
0.5000 0.5000 0.0000
0.7500 0.2500 0.5000
```

- DFT total energy: -43.39 eV for the cell shown
- SG: I-4m2